SrCa2NiH8 | PBE | optimized geometry

a b c (Å): 4.7845 4.7845 7.1331
angles (deg): 90.00 90.00 120.00
Fractional coordinates of all 12 atoms:
1 Sr 0.0000 0.0000 0.5000
2 Ca 0.6667 0.3333 0.1379
3 Ca 0.3333 0.6667 0.8621
4 Ni 0.0000 0.0000 0.0000
5 H 0.8404 0.6807 0.8656
6 H 0.3193 0.1596 0.8656
7 H 0.8404 0.1596 0.8656
8 H 0.1596 0.3193 0.1344
9 H 0.6807 0.8404 0.1344
10 H 0.1596 0.8404 0.1344
11 H 0.6667 0.3333 0.4446
12 H 0.3333 0.6667 0.5554

Values from the calculation:
total magnetic moment = 0.000 μB per atom
uncorrected energy = -3.60 eV/atom
density of states at the Fermi level = 2.020 states/eV per cell
volume = 141.4 Å³/f.u.

---

CaThNi2H8 | PBE | optimized geometry

a b c (Å): 4.5356 4.5356 6.9968
angles (deg): 71.09 71.09 60.00
Fractional coordinates of all 12 atoms:
1 Ca 0.0000 0.0000 0.0000
2 Th 0.5000 0.5000 0.5000
3 Ni 0.2390 0.2390 0.2831
4 Ni 0.7610 0.7610 0.7169
5 H 0.1568 0.1568 0.5296
6 H 0.4558 0.4537 0.1825
7 H 0.8432 0.8432 0.4704
8 H 0.9080 0.4558 0.1825
9 H 0.0920 0.5442 0.8175
10 H 0.4537 0.9080 0.1825
11 H 0.5463 0.0920 0.8175
12 H 0.5442 0.5463 0.8175

Values from the calculation:
total magnetic moment = 0.000 μB per atom
uncorrected energy = -4.28 eV/atom
density of states at the Fermi level = 3.990 states/eV per cell
volume = 115.6 Å³/f.u.

---

Ca2TlNiH | PBE | optimized geometry

a b c (Å): 5.2937 5.2937 3.5483
angles (deg): 90.00 90.00 90.00
Fractional coordinates of all 5 atoms:
1 Ni 0.0000 0.0000 0.5000
2 Tl 0.5000 0.5000 0.5000
3 Ca 0.0000 0.5000 0.0000
4 Ca 0.5000 0.0000 0.0000
5 H 0.0000 0.0000 0.0000

Values from the calculation:
total magnetic moment = 0.000 μB per atom
uncorrected energy = -3.36 eV/atom
density of states at the Fermi level = 2.472 states/eV per cell
volume = 99.4 Å³/f.u.

---

Ca2TlNi2H6 | PBE | optimized geometry

a b c (Å): 4.7129 4.7129 7.0421
angles (deg): 70.45 70.45 60.00
Fractional coordinates of all 11 atoms:
1 Ca 0.7757 0.7757 0.6729
2 Ca 0.2243 0.2243 0.3271
3 Tl 0.0000 0.0000 0.0000
4 Ni 0.3901 0.3901 0.8297
5 Ni 0.6099 0.6099 0.1703
6 H 0.7188 0.7188 0.3155
7 H 0.2469 0.7188 0.3155
8 H 0.7188 0.2469 0.3155
9 H 0.2812 0.7531 0.6845
10 H 0.7531 0.2812 0.6845
11 H 0.2812 0.2812 0.6845

Values from the calculation:
total magnetic moment = 0.000 μB per atom
uncorrected energy = -3.62 eV/atom
density of states at the Fermi level = 3.585 states/eV per cell
volume = 124.9 Å³/f.u.

---

Ca2TlNiH6 | PBE | optimized geometry

a b c (Å): 6.7972 4.7057 4.7057
angles (deg): 120.00 90.00 90.00
Fractional coordinates of all 10 atoms:
1 Ca 0.1839 0.3333 0.6667
2 Ca 0.8161 0.6667 0.3333
3 Tl 0.5000 0.0000 0.0000
4 Ni 0.0000 0.0000 0.0000
5 H 0.8695 0.1619 0.3237
6 H 0.8695 0.1619 0.8381
7 H 0.8695 0.6763 0.8381
8 H 0.1305 0.8381 0.1619
9 H 0.1305 0.3237 0.1619
10 H 0.1305 0.8381 0.6763

Values from the calculation:
total magnetic moment = 0.000 μB per atom
uncorrected energy = -3.52 eV/atom
density of states at the Fermi level = 2.273 states/eV per cell
volume = 130.4 Å³/f.u.

---

CaTmNi2H8 | PBE | optimized geometry

a b c (Å): 4.0616 4.0616 8.4184
angles (deg): 76.04 76.04 60.00
Fractional coordinates of all 12 atoms:
1 Ca 0.5000 0.5000 0.5000
2 Tm 0.0000 0.0000 0.0000
3 Ni 0.2547 0.2547 0.2360
4 Ni 0.7453 0.7453 0.7640
5 H 0.1893 0.1893 0.4320
6 H 0.4722 0.4723 0.1363
7 H 0.8107 0.8107 0.5680
8 H 0.9193 0.4722 0.1363
9 H 0.0807 0.5278 0.8637
10 H 0.4723 0.9193 0.1363
11 H 0.5277 0.0807 0.8637
12 H 0.5278 0.5277 0.8637

Values from the calculation:
total magnetic moment = 0.000 μB per atom
uncorrected energy = -3.92 eV/atom
density of states at the Fermi level = 4.182 states/eV per cell
volume = 115.5 Å³/f.u.